No. 1
An optimized crystal structure of Sc2TlP. Source: Alexandria, functional PBE.

Calculated values
theoretical density = 5.9 g cm⁻³
ΔE_f = -0.646 eV/atom
total magnetic moment = 0.3 μB/f.u.
SG = Imm2
uncorrected energy = -5.76 eV per atom
N(E_F) = 2.97 states/eV/f.u.

The structure in POSCAR format:
```
Sc2TlP
1.0
3.4397 0.0000 0.0000
0.0000 3.4821 0.0000
0.0000 0.0000 15.2613
Sc Tl P
4 2 2
Direct
0.0000 0.0000 0.0000
0.0000 0.5000 0.1971
0.5000 0.0000 0.6971
0.5000 0.5000 0.5000
0.0000 0.0000 0.3670
0.5000 0.5000 0.8670
0.0000 0.5000 0.6292
0.5000 0.0000 0.1292
```

No. 2
An optimized crystal structure of Sc2TlP. Source: Alexandria, functional PBE.

Calculated values
theoretical density = 6.2 g cm⁻³
ΔE_f = 0.135 eV/atom
total magnetic moment = 1.6 μB/f.u.
SG = F-43m
uncorrected energy = -4.97 eV per atom
N(E_F) = 6.24 states/eV/f.u.

The structure in POSCAR format:
```
Sc2TlP
1.0
7.0359 0.0000 0.0000
0.0000 7.0359 0.0000
0.0000 0.0000 7.0359
Sc Tl P
8 4 4
Direct
0.0000 0.0000 0.0000
0.0000 0.5000 0.5000
0.2500 0.2500 0.2500
0.2500 0.7500 0.7500
0.5000 0.0000 0.5000
0.5000 0.5000 0.0000
0.7500 0.2500 0.7500
0.7500 0.7500 0.2500
0.0000 0.0000 0.5000
0.0000 0.5000 0.0000
0.5000 0.0000 0.0000
0.5000 0.5000 0.5000
0.2500 0.2500 0.7500
0.2500 0.7500 0.2500
0.7500 0.2500 0.2500
0.7500 0.7500 0.7500
```

No. 3
An optimized crystal structure of Sc2TlP. Source: Alexandria, functional PBE.

Calculated values
theoretical density = 6.6 g cm⁻³
ΔE_f = -0.431 eV/atom
total magnetic moment = 0.0 μB/f.u.
SG = P4/mmm
uncorrected energy = -5.54 eV per atom
N(E_F) = 4.37 states/eV/f.u.

The structure in POSCAR format:
```
Sc2TlP
1.0
4.6524 0.0000 0.0000
0.0000 4.6524 0.0000
0.0000 0.0000 3.7774
Sc Tl P
2 1 1
Direct
0.0000 0.5000 0.0000
0.5000 0.0000 0.0000
0.0000 0.0000 0.5000
0.5000 0.5000 0.5000
```

No. 4
An optimized crystal structure of Sc2TlP. Source: Alexandria, functional PBE.

Calculated values
theoretical density = 5.6 g cm⁻³
ΔE_f = 0.051 eV/atom
total magnetic moment = 0.0 μB/f.u.
SG = R-3m
uncorrected energy = -5.06 eV per atom
N(E_F) = 4.37 states/eV/f.u.

The structure in POSCAR format:
```
Sc2TlP
1.0
3.3298 0.0000 0.0000
-1.6649 2.8837 0.0000
0.0000 0.0000 29.9396
Sc Tl P
6 3 3
Direct
0.0000 0.0000 0.0838
0.0000 0.0000 0.9162
0.3333 0.6667 0.5828
0.3333 0.6667 0.7505
0.6667 0.3333 0.2495
0.6667 0.3333 0.4172
0.0000 0.0000 0.5000
0.3333 0.6667 0.1667
0.6667 0.3333 0.8333
0.0000 0.0000 0.0000
0.3333 0.6667 0.6667
0.6667 0.3333 0.3333
```

No. 5
An optimized crystal structure of ScTlP. Source: Alexandria, functional PBE.

Calculated values
theoretical density = 6.5 g cm⁻³
ΔE_f = -0.116 eV/atom
total magnetic moment = 0.0 μB/f.u.
SG = F-43m
uncorrected energy = -4.82 eV per atom
N(E_F) = 2.92 states/eV/f.u.

The structure in POSCAR format:
```
ScTlP
1.0
6.6052 0.0000 0.0000
0.0000 6.6052 0.0000
0.0000 0.0000 6.6052
Sc Tl P
4 4 4
Direct
0.0000 0.0000 0.0000
0.0000 0.5000 0.5000
0.5000 0.0000 0.5000
0.5000 0.5000 0.0000
0.2500 0.2500 0.2500
0.2500 0.7500 0.7500
0.7500 0.2500 0.7500
0.7500 0.7500 0.2500
0.2500 0.2500 0.7500
0.2500 0.7500 0.2500
0.7500 0.2500 0.2500
0.7500 0.7500 0.7500
```

No. 6
An optimized crystal structure of Sc3TlP. Source: Alexandria, functional PBE.

Calculated values
theoretical density = 4.5 g cm⁻³
ΔE_f = -0.211 eV/atom
total magnetic moment = 1.5 μB/f.u.
SG = I-4m2
uncorrected energy = -5.57 eV per atom
N(E_F) = 6.05 states/eV/f.u.

The structure in POSCAR format:
```
Sc3TlP
1.0
-2.7524 2.7524 9.0355
2.7524 -2.7524 9.0355
2.7524 2.7524 -9.0355
Sc Tl P
6 2 2
Direct
0.2218 0.2218 0.0000
0.3706 0.6191 0.7516
0.3809 0.1325 0.7516
0.3809 0.6294 0.2484
0.7782 0.7782 0.0000
0.8675 0.6191 0.2484
0.6533 0.1533 0.5000
0.8467 0.3467 0.5000
0.2500 0.7500 0.5000
0.5000 0.5000 0.0000
```

No. 7
An optimized crystal structure of Sc3TlP. Source: Alexandria, functional PBE.

Calculated values
theoretical density = 5.6 g cm⁻³
ΔE_f = -0.736 eV/atom
total magnetic moment = 0.0 μB/f.u.
SG = P2_1/m
uncorrected energy = -6.09 eV per atom
N(E_F) = 5.87 states/eV/f.u.

The structure in POSCAR format:
```
Sc3TlP
1.0
6.5225 0.0000 0.0000
0.0000 3.9850 0.0000
-1.4066 0.0000 8.3768
Sc Tl P
6 2 2
Direct
0.0298 0.2500 0.1635
0.1648 0.2500 0.5939
0.4681 0.7500 0.8292
0.5319 0.2500 0.1708
0.8352 0.7500 0.4061
0.9702 0.7500 0.8365
0.3285 0.7500 0.3759
0.6715 0.2500 0.6241
0.2359 0.2500 0.9122
0.7641 0.7500 0.0878
```

No. 8
An optimized crystal structure of ScTlP2. Source: Alexandria, functional PBE.

Calculated values
theoretical density = 6.0 g cm⁻³
ΔE_f = -0.353 eV/atom
total magnetic moment = 0.0 μB/f.u.
SG = R-3m
uncorrected energy = -5.23 eV per atom
N(E_F) = 2.28 states/eV/f.u.

The structure in POSCAR format:
```
ScTlP2
1.0
3.8973 0.0000 0.0000
-1.9487 3.3752 0.0000
0.0000 0.0000 19.7702
Sc Tl P
3 3 6
Direct
0.0000 0.0000 0.0000
0.3333 0.6667 0.6667
0.6667 0.3333 0.3333
0.0000 0.0000 0.5000
0.3333 0.6667 0.1667
0.6667 0.3333 0.8333
0.0000 0.0000 0.2604
0.0000 0.0000 0.7396
0.3333 0.6667 0.4063
0.3333 0.6667 0.9271
0.6667 0.3333 0.0729
0.6667 0.3333 0.5937
```

No. 9
An optimized crystal structure of ScTlP. Source: Alexandria, functional PBE.

Calculated values
theoretical density = 6.9 g cm⁻³
ΔE_f = -0.593 eV/atom
total magnetic moment = 0.0 μB/f.u.
SG = C2/m
uncorrected energy = -5.30 eV per atom
N(E_F) = 2.09 states/eV/f.u.

The structure in POSCAR format:
```
ScTlP
1.0
9.3067 0.0000 0.0000
0.0000 3.6822 0.0000
-1.1948 0.0000 7.8350
Sc Tl P
4 4 4
Direct
0.1454 0.0000 0.1267
0.3546 0.5000 0.8733
0.6454 0.5000 0.1267
0.8546 0.0000 0.8733
0.1468 0.0000 0.6061
0.3532 0.5000 0.3939
0.6468 0.5000 0.6061
0.8532 0.0000 0.3939
0.0687 0.5000 0.8766
0.4313 0.0000 0.1234
0.5687 0.0000 0.8766
0.9313 0.5000 0.1234
```

No. 10
An optimized crystal structure of Sc3TlP. Source: Alexandria, functional PBE.

Calculated values
theoretical density = 5.4 g cm⁻³
ΔE_f = -0.716 eV/atom
total magnetic moment = 0.0 μB/f.u.
SG = Cm
uncorrected energy = -6.07 eV per atom
N(E_F) = 3.91 states/eV/f.u.

The structure in POSCAR format:
```
Sc3TlP
1.0
7.5221 -1.8628 0.0000
7.5221 1.8628 0.0000
-6.7098 0.0000 8.0510
Sc Tl P
6 2 2
Direct
0.0000 0.0000 0.0000
0.1676 0.1676 0.4552
0.2432 0.2432 0.8496
0.5363 0.5363 0.5371
0.8148 0.8148 0.2288
0.9063 0.9063 0.6231
0.4668 0.4668 0.1947
0.5978 0.5978 0.8844
0.3127 0.3127 0.3990
0.7664 0.7664 0.6935
```

No. 11
An optimized crystal structure of Sc3TlP. Source: Alexandria, functional PBE.

Calculated values
theoretical density = 5.0 g cm⁻³
ΔE_f = -0.335 eV/atom
total magnetic moment = 0.5 μB/f.u.
SG = P4mm
uncorrected energy = -5.69 eV per atom
N(E_F) = 4.90 states/eV/f.u.

The structure in POSCAR format:
```
Sc3TlP
1.0
3.8934 0.0000 0.0000
0.0000 3.8934 0.0000
0.0000 0.0000 8.1775
Sc Tl P
3 1 1
Direct
0.0000 0.0000 0.0000
0.0000 0.5000 0.6832
0.5000 0.0000 0.6832
0.0000 0.0000 0.3659
0.5000 0.5000 0.9183
```

No. 12
An optimized crystal structure of Sc3TlP. Source: Alexandria, functional PBE.

Calculated values
theoretical density = 5.2 g cm⁻³
ΔE_f = -0.698 eV/atom
total magnetic moment = 0.0 μB/f.u.
SG = R-3c
uncorrected energy = -6.05 eV per atom
N(E_F) = 1.84 states/eV/f.u.

The structure in POSCAR format:
```
Sc3TlP
1.0
3.4646 2.0003 5.6368
-3.4646 2.0003 5.6368
0.0000 -4.0006 5.6368
Sc Tl P
6 2 2
Direct
0.2290 0.7500 0.2710
0.2500 0.7290 0.7710
0.2710 0.2290 0.7500
0.7290 0.7710 0.2500
0.7500 0.2710 0.2290
0.7710 0.2500 0.7290
0.2500 0.2500 0.2500
0.7500 0.7500 0.7500
0.0000 0.0000 0.0000
0.5000 0.5000 0.5000
```